The following is a DFT calculation (PBE) of crystalline Be2HgRh at its relaxed geometry.

Calculated values
raw total energy = -3.539 eV per atom

Lattice parameters (Å, degrees): 6.3321 6.3321 5.5018 90.00 90.00 90.00
With the nearest neighbours (Å) after each atom.
Space group I-42d (No. 122)
Asymmetric unit:
1 Be 0.2207 0.2500 0.1250  2 Rh 2.22, 2 Hg 2.47
2 Hg 0.0000 0.0000 0.5000  4 Be 2.47, 2 Rh 2.75
3 Rh 0.0000 0.0000 0.0000  4 Be 2.22


The following is a DFT calculation (PBE) of crystalline CrCd3W at its relaxed geometry.

Calculated values
raw total energy = -3.036 eV per atom
offset from the most stable computed form = 0.283 eV/atom

Lattice parameters (Å, degrees): 5.2630 5.2630 5.2630 90.00 90.00 90.00
With the nearest neighbours (Å) after each atom.
Space group Pm-3m (No. 221)
Asymmetric unit:
1 Cr 0.0000 0.0000 0.0000  12 Cd 3.72
2 Cd 0.0000 0.5000 0.5000  2 W 2.63
3 W 0.5000 0.5000 0.5000  6 Cd 2.63


The following is a DFT calculation (PBE) of crystalline MgRe2Ru at its relaxed geometry.

Calculated values
raw total energy = -8.716 eV per atom

Lattice parameters (Å, degrees): 2.7275 4.3266 5.2211 90.00 103.61 90.00
With the nearest neighbours (Å) after each atom.
Space group P2/m (No. 10)
Asymmetric unit:
1 Mg 0.0000 0.0000 0.0000  2 Ru 2.61, 4 Re 2.72, 2 Mg 2.73
2 Re 0.4968 0.5000 0.7541  4 Re 2.56-2.73, 2 Mg 2.72, 2 Ru 2.73
3 Ru 0.0000 0.0000 0.5000  2 Mg 2.61, 4 Re 2.73, 2 Ru 2.73


In the order shown, the computed total magnetization values come out to 0.00; 1.34; 0.00 μB/cell.
In the order shown, the computed calculated formation energy values come out to 238; 2028; 226 meV per atom.